# 1
The following is a PBE calculation of crystalline NaMg3O4 at its relaxed geometry, from Alexandria via LeMat-Bulk.

a b c (Å): 4.3476 4.3476 4.3476
angles (deg): 90.00 90.00 90.00
Fractional coordinates of all 8 atoms:
Na: 0.0000 0.0000 0.0000
Mg: 0.0000 0.5000 0.5000
Mg: 0.5000 0.0000 0.5000
Mg: 0.5000 0.5000 0.0000
O: 0.0000 0.0000 0.5000
O: 0.0000 0.5000 0.0000
O: 0.5000 0.0000 0.0000
O: 0.5000 0.5000 0.5000

spin magnetization: 0.126 μB/atom
formation energy (no corrections): -204.0 kJ per mole of atoms

# 2
The following is a PBE calculation of crystalline NiPt4 at its relaxed geometry, from Alexandria via LeMat-Bulk.

a b c (Å): 4.8281 4.8281 4.8281
angles (deg): 109.47 109.47 109.47
Fractional coordinates of all 5 atoms:
Ni: 0.0000 0.0000 0.0000
Pt: 0.0000 0.0000 0.5000
Pt: 0.0000 0.5000 0.0000
Pt: 0.5000 0.0000 0.0000
Pt: 0.5000 0.5000 0.5000

excess energy over the best structure of this formula in the dataset: 0.413 eV per atom
spin magnetization: 0.000 μB/atom
formation energy: 0.370 eV per atom